Record 1
! La2TaTlTc | the Alexandria database | PBE | relaxed; values from VASP
&SYSTEM
  ibrav = 0, nat = 5, ntyp = 4
/
ATOMIC_SPECIES
Tl 204.38 Tl.upf
La 138.91 La.upf
Tc 98.00 Tc.upf
Ta 180.95 Ta.upf
CELL_PARAMETERS angstrom
5.8048 0.0000 0.0000
0.0000 4.9535 0.0000
0.0000 0.0000 5.8048
ATOMIC_POSITIONS angstrom
Tl 0.0000 0.0000 0.0000
La 0.0000 0.0000 2.9024
La 2.9024 0.0000 0.0000
Tc 0.0000 2.4767 0.0000
Ta 2.9024 2.4767 2.9024
! Formation energy: 1.71 eV/atom
! Calculated total energy: -5.181 eV/atom
! DOS at the Fermi energy: 2.818 states/eV per atom

Record 2
! LaTa2Te | the Alexandria database | PBE | relaxed; values from VASP
&SYSTEM
  ibrav = 0, nat = 4, ntyp = 3
/
ATOMIC_SPECIES
La 138.91 La.upf
Ta 180.95 Ta.upf
Te 127.60 Te.upf
CELL_PARAMETERS angstrom
-2.5472 0.0125 3.7138
-2.6739 -1.3986 -1.8293
1.1473 -6.1703 0.8076
ATOMIC_POSITIONS angstrom
La -2.5363 -5.4113 1.0091
Ta -2.4231 -2.1141 -1.6549
Ta -2.1863 -1.7460 1.2368
Te -0.3654 -3.4680 -0.2390
! Formation energy (no corrections): 0.045 eV per atom
! Calculated total energy: -7.898 eV/atom
! DOS at the Fermi energy: 1.051 states/eV per atom

Record 3
! LaTa2Te | the Alexandria database | PBE | relaxed; values from VASP
&SYSTEM
  ibrav = 0, nat = 4, ntyp = 3
/
ATOMIC_SPECIES
La 138.91 La.upf
Ta 180.95 Ta.upf
Te 127.60 Te.upf
CELL_PARAMETERS angstrom
3.5773 0.0000 0.0000
0.0000 5.1305 -0.0071
0.0000 3.6922 4.9041
ATOMIC_POSITIONS angstrom
La 0.0000 1.8461 2.4520
Ta 0.0000 0.0000 0.0000
Ta 1.7886 2.5653 -0.0035
Te 1.7886 4.4114 2.4485
! Formation energy (no corrections): 0.225 eV per atom
! Calculated total energy: -7.719 eV/atom
! DOS at the Fermi energy: 0.876 states/eV per atom

Record 4
! LaTa2Te | the Alexandria database | PBE | relaxed; values from VASP
&SYSTEM
  ibrav = 0, nat = 4, ntyp = 3
/
ATOMIC_SPECIES
La 138.91 La.upf
Ta 180.95 Ta.upf
Te 127.60 Te.upf
CELL_PARAMETERS angstrom
5.3253 -0.0024 0.0180
4.1407 3.3488 0.0180
1.0537 0.3725 5.2419
ATOMIC_POSITIONS angstrom
La 2.6299 0.9297 1.3195
Ta 1.0991 0.3885 4.9458
Ta 5.2144 1.8434 2.9350
Te 7.8897 2.7891 3.9584
! Formation energy (no corrections): 0.176 eV per atom
! Calculated total energy: -7.767 eV/atom
! DOS at the Fermi energy: 0.859 states/eV per atom